VASP calculation (PBE) on Sc2AlTl2 after structural relaxation.

It has space group P4/mbm (No. 127), with a = 7.4043 Å, b = 7.4043 Å, c = 4.4252 Å, α = 90.00°, β = 90.00° and γ = 90.00°. Symmetry generates all atoms from Sc at (0.1526, 0.3474, 0.0000), Al at (0.0000, 0.0000, 0.0000) and Tl at (0.1560, 0.6560, 0.5000).

As for the distance to the lowest polymorph of the same formula: 40 kJ/mol of formula units. For the density of states at the Fermi level, the calculation gives 1.1806 states/eV per atom. The value obtained for the calculated volume is 24.26 Å³/atom. The value obtained for the theoretical density is 7.196 g/cm3. As for the total moment: 0.0 μB per cell. For the formation energy, the calculation gives -5 kJ per mole of atoms.

VASP calculation (PBE) on ScAl2Tl after structural relaxation.

It has space group Pmm2 (No. 25), with a = 3.0899 Å, b = 4.7169 Å, c = 5.7290 Å, α = 90.00°, β = 90.00° and γ = 90.00°. Symmetry generates all atoms from Sc at (0.0000, 0.0000, 0.0000), Al at (0.5000, 0.0000, 0.4574), Al at (0.5000, 0.5000, 0.2179) and Tl at (0.5000, 0.5000, 0.7359).

For the density of states at the Fermi level, the calculation gives 0.7124 states/eV per atom. The value obtained for the calculated volume is 20.87 Å³/atom. The value obtained for the theoretical density is 6.032 g/cm3. As for the total moment: 0.0 μB per cell. For the formation energy, the calculation gives -8 kJ per mole of atoms.